K3Sb: optimized geometry, PBE-GGA.

For the offset from the most stable computed form, the calculation gives 105 meV per atom. As for the density of states at the Fermi level: 3.38 states/eV/f.u. The total energy is -2.163 eV/atom. Its uncorrected formation energy is -309 meV/atom.

Cell lengths 5.6720, 5.6720, 19.9223 Å; angles 90.00, 90.00, 90.00 degrees
Space group I4/mmm (No. 139)
Symmetry-distinct sites (fractional):
K 0.0000 0.0000 0.1382 x4
K 0.0000 0.5000 0.0000 x4
K 0.0000 0.5000 0.2500 x4
Sb 0.0000 0.0000 0.3675 x4

***

V3CuNi4: optimized geometry, PBE-GGA.

As for the density of states at the Fermi level: 10.31 states/eV/f.u. The total energy is -6.858 eV/atom.

Cell lengths 5.0535, 7.2893, 5.1526 Å; angles 90.00, 90.00, 90.00 degrees
Space group Pmmn (No. 59, origin choice 2)
Symmetry-distinct sites (fractional):
V 0.0000 0.0000 0.0000 x4
V 0.2500 0.2500 0.2619 x2
Cu 0.2500 0.2500 0.7442 x2
Ni 0.0000 0.0000 0.5000 x4
Ni 0.2500 0.7500 0.2423 x2
Ni 0.2500 0.7500 0.7435 x2

***

LaNd6Sm2Y3: optimized geometry, PBE-GGA.

As for the density of states at the Fermi level: 16.96 states/eV/f.u. The total energy is -5.183 eV/atom.

Cell lengths 6.3363, 10.9787, 12.0557 Å; angles 90.00, 100.09, 90.00 degrees
Space group C2/m (No. 12)
Symmetry-distinct sites (fractional):
La 0.0000 0.0000 0.0000 x2
Nd 0.2493 0.0000 0.7467 x4
Nd 0.2485 0.3330 0.7472 x8
Sm 0.0000 0.3336 0.0000 x4
Y 0.0000 0.1671 0.5000 x4
Y 0.0000 0.5000 0.5000 x2

***

UAgBr2: optimized geometry, PBE-GGA.

As for the density of states at the Fermi level: 8.13 states/eV/f.u. The total energy is -4.441 eV/atom. Its uncorrected formation energy is -69 meV/atom.

Cell lengths 3.6306, 3.6306, 28.6596 Å; angles 90.00, 90.00, 120.00 degrees
Space group R-3m (No. 166, hexagonal axes)
Symmetry-distinct sites (fractional):
U 0.0000 0.0000 0.0000 x3
Ag 0.0000 0.0000 0.5000 x3
Br 0.0000 0.0000 0.0988 x6

***

AlSi2Os: optimized geometry, PBE-GGA.

As for the density of states at the Fermi level: 1.30 states/eV/f.u. The total energy is -6.523 eV/atom. Its uncorrected formation energy is -69 meV/atom.

Cell lengths 3.0911, 4.2595, 4.6747 Å; angles 90.00, 101.13, 90.00 degrees
Space group P2/m (No. 10)
Symmetry-distinct sites (fractional):
Al 0.0000 0.0000 0.0000 x1
Si 0.4588 0.5000 0.2396 x2
Os 0.5000 0.0000 0.5000 x1

***

KRbBe2Hg: optimized geometry, PBE-GGA.

As for the density of states at the Fermi level: 5.24 states/eV/f.u. The total energy is -0.601 eV/atom.

Cell lengths 6.1086, 6.1086, 7.3944 Å; angles 90.00, 90.00, 90.00 degrees
Space group P4/mmm (No. 123)
Symmetry-distinct sites (fractional):
K 0.0000 0.0000 0.0000 x1
Rb 0.0000 0.0000 0.5000 x1
Be 0.0000 0.5000 0.0000 x2
Hg 0.5000 0.5000 0.5000 x1

***

La2BeCr: optimized geometry, PBE-GGA.

As for the density of states at the Fermi level: 4.06 states/eV/f.u. The total energy is -5.480 eV/atom.

Cell lengths 3.6206, 4.9610, 10.3841 Å; angles 90.00, 90.00, 90.00 degrees
Space group Imm2 (No. 44)
Symmetry-distinct sites (fractional):
La 0.0000 0.0000 0.0000 x2
La 0.0000 0.5000 0.1985 x2
Be 0.0000 0.5000 0.7649 x2
Cr 0.0000 0.0000 0.4125 x2

***

MnTePb2: optimized geometry, PBE-GGA.

As for the density of states at the Fermi level: 1.99 states/eV/f.u. The total energy is -4.782 eV/atom. Its uncorrected formation energy is 150 meV/atom.

Cell lengths 4.7575, 4.0568, 6.3328 Å; angles 90.00, 110.98, 90.00 degrees
Space group Pm (No. 6)
Symmetry-distinct sites (fractional):
Mn 0.0000 0.0000 0.0000 x1
Te 0.3625 0.5000 0.2291 x1
Pb 0.5226 0.5000 0.7943 x1
Pb 0.9540 0.0000 0.5060 x1